DFT (PBE) results for crystalline Sm2CuB3Pt12 at its relaxed geometry.

CIF file:
```
data_Sm2CuB3Pt12
_chemical_formula_sum 'Sm6 Cu3 B9 Pt36'
_cell_length_a 7.9490
_cell_length_b 7.9490
_cell_length_c 17.2165
_cell_angle_alpha 90.00
_cell_angle_beta 90.00
_cell_angle_gamma 120.00
_symmetry_space_group_name_H-M 'R -3 m'
_symmetry_Int_Tables_number 166
_symmetry_space_group_name_Hall '-R 3 2"'
loop_
_atom_site_label
_atom_site_fract_x
_atom_site_fract_y
_atom_site_fract_z
_atom_site_occupancy
Sm1 0.0000 0.0000 0.1072 1
Cu1 0.0000 0.0000 0.5000 1
B1 0.0000 0.5000 0.0000 1
Pt1 0.0006 0.5003 0.8780 1
Pt2 0.0561 0.5281 0.3549 1
```

Results
formation enthalpy at 0 K = -392 meV per atom
crystal system = trigonal
total magnetic moment = 0.00 μB per formula unit

***

DFT (PBE) results for crystalline SrCuBPt2 at its relaxed geometry.

CIF file:
```
data_SrCuBPt2
_chemical_formula_sum 'Sr1 Cu1 B1 Pt2'
_cell_length_a 4.369
_cell_length_b 4.369
_cell_length_c 4.369
_cell_angle_alpha 90.00
_cell_angle_beta 90.00
_cell_angle_gamma 90.00
_symmetry_space_group_name_H-M 'P 4/m m m'
_symmetry_Int_Tables_number 123
_symmetry_space_group_name_Hall '-P 4 2'
loop_
_atom_site_label
_atom_site_fract_x
_atom_site_fract_y
_atom_site_fract_z
_atom_site_occupancy
Sr1 0.000 0.000 0.000 1
Cu1 0.500 0.500 0.000 1
B1 0.500 0.500 0.500 1
Pt1 0.000 0.500 0.500 1
```

Results
formation enthalpy at 0 K = -346 meV per atom
crystal system = tetragonal
total magnetic moment = 0.00 μB per formula unit

***

DFT (PBE) results for crystalline Tb2CuBPt6 at its relaxed geometry.

CIF file:
```
data_Tb2CuBPt6
_chemical_formula_sum 'Tb6 Cu3 B3 Pt18'
_cell_length_a 5.5723
_cell_length_b 5.5723
_cell_length_c 19.9241
_cell_angle_alpha 90.00
_cell_angle_beta 90.00
_cell_angle_gamma 120.00
_symmetry_space_group_name_H-M 'R -3 m'
_symmetry_Int_Tables_number 166
_symmetry_space_group_name_Hall '-R 3 2"'
loop_
_atom_site_label
_atom_site_fract_x
_atom_site_fract_y
_atom_site_fract_z
_atom_site_occupancy
Tb1 0.0000 0.0000 0.2073 1
Cu1 0.0000 0.0000 0.5000 1
B1 0.0000 0.0000 0.0000 1
Pt1 0.0072 0.5036 0.2666 1
```

Results
formation enthalpy at 0 K = -815 meV per atom
crystal system = trigonal
total magnetic moment = 0.00 μB per formula unit